# Pd6Pt5

A relaxed structure of Pd6Pt5 (GGA-PBE, the Alexandria database).

abc: 4.6612 6.5406 6.5406
angles: 104.27 104.39 104.39
Element x y z (fractional)
Pd 0.6508 0.1845 0.1845
Pd 0.3492 0.8155 0.8155
Pd 0.8518 0.6713 0.9562
Pd 0.1482 0.0438 0.3287
Pd 0.1482 0.3287 0.0438
Pd 0.8518 0.9562 0.6713
Pt 0.5000 0.5000 0.5000
Pt 0.0000 0.6326 0.3674
Pt 0.0000 0.3674 0.6326
Pt 0.5000 0.7714 0.2286
Pt 0.5000 0.2286 0.7714

Crystal system = monoclinic
V = 177 Å³ per cell
ΔH_f (0 K) = 0.877 eV per formula unit
Size of the total moment = 0.0 μB/f.u.